Entry 1:
Computed, not measured: crystalline Ta3Mo5 at its relaxed geometry at the GGA-PBE level of DFT.

a b c (Å): 9.468 9.468 2.807
angles (deg): 95.73 95.73 145.79
Element x y z (fractional)
Ta (0.000, 0.000, 0.000)
Ta (0.382, 0.121, 0.507)
Ta (0.879, 0.618, 0.493)
Mo (0.127, 0.373, 0.505)
Mo (0.257, 0.743, 0.000)
Mo (0.501, 0.499, 0.000)
Mo (0.627, 0.873, 0.495)
Mo (0.756, 0.244, 0.000)

Output
Energy of formation from the pure elements, eV/atom: -0.086
E above lowest polymorph, eV per atom: 0.106
Fermi-level density of states, states/eV/f.u.: 4.64

=====

Entry 2:
Computed, not measured: crystalline Ta3Mo at its relaxed geometry at the GGA-PBE level of DFT.

a b c (Å): 5.504 5.504 5.504
angles (deg): 138.81 138.81 59.67
Element x y z (fractional)
Ta (0.000, 0.000, 0.000)
Ta (0.250, 0.750, 0.500)
Ta (0.750, 0.250, 0.500)
Mo (0.500, 0.500, 0.000)

Output
Energy of formation from the pure elements, eV/atom: 0.139
E above lowest polymorph, eV per atom: 0.253
Fermi-level density of states, states/eV/f.u.: 4.74

=====

Entry 3:
Computed, not measured: crystalline Ta3Mo5 at its relaxed geometry at the GGA-PBE level of DFT.

a b c (Å): 9.541 9.541 9.541
angles (deg): 160.56 152.60 33.82
Element x y z (fractional)
Ta (0.000, 0.000, 0.000)
Ta (0.246, 0.246, 0.000)
Ta (0.869, 0.369, 0.500)
Mo (0.122, 0.622, 0.500)
Mo (0.374, 0.874, 0.500)
Mo (0.497, 0.497, 0.000)
Mo (0.622, 0.122, 0.500)
Mo (0.744, 0.744, 0.000)

Output
Energy of formation from the pure elements, eV/atom: -0.165
E above lowest polymorph, eV per atom: 0.026
Fermi-level density of states, states/eV/f.u.: 6.25

=====

Entry 4:
Computed, not measured: crystalline TaMo7 at its relaxed geometry at the GGA-PBE level of DFT.

a b c (Å): 5.699 5.699 5.699
angles (deg): 60.00 60.00 60.00
Element x y z (fractional)
Ta (0.000, 0.000, 0.000)
Mo (0.000, 0.000, 0.500)
Mo (0.000, 0.500, 0.000)
Mo (0.000, 0.500, 0.500)
Mo (0.500, 0.000, 0.000)
Mo (0.500, 0.000, 0.500)
Mo (0.500, 0.500, 0.000)
Mo (0.500, 0.500, 0.500)

Output
Energy of formation from the pure elements, eV/atom: 0.386
E above lowest polymorph, eV per atom: 0.493
Fermi-level density of states, states/eV/f.u.: 10.20